[1]
Density functional theory data (PBE) for a relaxed structure of KLi4Tl8.

## Properties
Space group: I4/mmm, No. 139

Lattice parameters (Å, degrees): 6.1168 8.0375 8.0375 81.67 67.63 67.63
Sites, in units of the cell vectors:
K 0.0000 0.0000 0.0000
Li 0.0000 0.0000 0.5000
Li 0.5000 0.0000 0.5000
Li 0.0000 0.5000 0.0000
Li 0.5000 0.5000 0.0000
Tl 0.0000 0.3443 0.6557
Tl 0.0000 0.6557 0.3443
Tl 0.3443 0.6557 0.6557
Tl 0.6557 0.3443 0.3443
Tl 0.5000 0.7789 0.2211
Tl 0.5000 0.2211 0.7789
Tl 0.2789 0.2211 0.2211
Tl 0.7211 0.7789 0.7789

=====

[2]
Density functional theory data (PBE) for a relaxed structure of HfVCo2Tc.

## Properties
Space group: P4/mmm, No. 123

Lattice parameters (Å, degrees): 4.1130 4.7800 4.1130 90.00 90.00 90.00
Last column: magnetic moment on the atom in μB.
Sites, in units of the cell vectors:
Co 0.0000 0.0000 0.5000  0.26
Co 0.5000 0.0000 0.0000  0.29
Hf 0.0000 0.5000 0.0000  -0.09
Tc 0.5000 0.5000 0.5000  0.64
V 0.0000 0.0000 0.0000  -0.18

=====

[3]
Density functional theory data (PBE) for a relaxed structure of LiHoMg2.

## Properties
Energy above the most stable polymorph in this dataset (eV per formula unit): 0.33
Space group: Fm-3m, No. 225

Lattice parameters (Å, degrees): 5.1590 5.1590 5.1590 60.00 60.00 60.00
Sites, in units of the cell vectors:
Mg 0.2500 0.2500 0.2500
Mg 0.7500 0.7500 0.7500
Ho 0.5000 0.5000 0.5000
Li 0.0000 0.0000 0.0000

=====

[4]
Density functional theory data (PBE) for a relaxed structure of CdIn4.

## Properties
Energy above the most stable polymorph in this dataset (eV per formula unit): 0.84
Space group: Im-3m, No. 229

Lattice parameters (Å, degrees): 5.8718 5.8718 5.8718 109.47 109.47 109.47
Sites, in units of the cell vectors:
Cd 0.0000 0.0000 0.0000
In 0.5000 0.0000 0.0000
In 0.5000 0.5000 0.5000
In 0.0000 0.5000 0.0000
In 0.0000 0.0000 0.5000

=====

[5]
Density functional theory data (PBE) for a relaxed structure of TbSm3Bi3.

## Properties
Energy above the most stable polymorph in this dataset (eV per formula unit): 0.00
Space group: P2_13, No. 198

Lattice parameters (Å, degrees): 9.5455 9.5455 9.5455 90.00 90.00 90.00
Sites, in units of the cell vectors:
Tb 0.0729 0.5729 0.9271
Tb 0.9271 0.0729 0.5729
Tb 0.4271 0.4271 0.4271
Tb 0.5729 0.9271 0.0729
Sm 0.8231 0.3231 0.1769
Sm 0.9303 0.9303 0.9303
Sm 0.8221 0.6779 0.3221
Sm 0.1769 0.8231 0.3231
Sm 0.1779 0.1779 0.1779
Sm 0.3221 0.8221 0.6779
Sm 0.0697 0.4303 0.5697
Sm 0.3231 0.1769 0.8231
Sm 0.6779 0.3221 0.8221
Sm 0.6769 0.6769 0.6769
Sm 0.5697 0.0697 0.4303
Sm 0.4303 0.5697 0.0697
Bi 0.7532 0.6267 0.9990
Bi 0.8733 0.0010 0.2532
Bi 0.9990 0.7532 0.6267
Bi 0.1267 0.5010 0.2468
Bi 0.2468 0.1267 0.5010
Bi 0.2532 0.8733 0.0010
Bi 0.0010 0.2532 0.8733
Bi 0.3733 0.4990 0.7468
Bi 0.5010 0.2468 0.1267
Bi 0.6267 0.9990 0.7532
Bi 0.7468 0.3733 0.4990
Bi 0.4990 0.7468 0.3733

=====

[6]
Density functional theory data (PBE) for a relaxed structure of TbCuNi4Sn2.

## Properties
Space group: R-3m, No. 166

Lattice parameters (Å, degrees): 4.2448 4.2448 8.5753 75.67 75.67 60.00
Sites, in units of the cell vectors:
Tb 0.0000 0.0000 0.0000
Cu 0.5000 0.5000 0.5000
Ni 0.4015 0.4015 0.7954
Ni 0.8675 0.8675 0.3975
Ni 0.1325 0.1325 0.6025
Ni 0.5985 0.5985 0.2046
Sn 0.7595 0.7595 0.7215
Sn 0.2405 0.2405 0.2785

=====

[7]
Density functional theory data (PBE) for a relaxed structure of TbPr2Tm.

## Properties
Energy above the most stable polymorph in this dataset (eV per formula unit): 0.36
Space group: Fm-3m, No. 225

Lattice parameters (Å, degrees): 5.7584 5.7584 5.7584 60.00 60.00 60.00
Sites, in units of the cell vectors:
Pr 0.2500 0.2500 0.2500
Pr 0.7500 0.7500 0.7500
Tm 0.5000 0.5000 0.5000
Tb 0.0000 0.0000 0.0000

=====

[8]
Density functional theory data (PBE) for a relaxed structure of Tb3Mg.

## Properties
Space group: Pmm2, No. 25

Lattice parameters (Å, degrees): 3.4017 3.3929 10.8372 90.00 90.00 90.00
Sites, in units of the cell vectors:
Mg 0.0000 0.0000 0.9699
Tb 0.0000 0.5000 0.4706
Tb 0.5000 0.5000 0.1883
Tb 0.5000 0.0000 0.7045

=====

no.,electronic total energy (eV/atom)
1,-2.269
2,-7.682
3,-2.382
4,-2.171
5,-5.138
6,-5.259
7,-4.562
8,-3.674